Record 1
A plane-wave DFT calculation with GGA-PBEsol was carried out for a relaxed structure of CaBrCl.

Computed properties:
DOS(E_F) ... 0.000 states/eV per atom
Formation energy from raw total energies ... -2202 meV per atom
Crystal system ... trigonal
VASP energy ... -4.206 eV per atom

Unit cell a=4.137 b=4.137 c=6.149 alpha=90.00 beta=90.00 gamma=120.00
Element x y z (fractional)
Ca 0.667 0.333 0.652
Cl 0.333 0.667 0.435
Br 0.000 0.000 0.913


Record 2
A plane-wave DFT calculation with GGA-PBEsol was carried out for a relaxed structure of Be2P2O7.

Computed properties:
DOS(E_F) ... 0.000 states/eV per atom
Formation energy from raw total energies ... -2394 meV per atom
Crystal system ... monoclinic
VASP energy ... -7.515 eV per atom

Unit cell a=5.138 b=5.138 c=9.257 alpha=105.82 beta=105.82 gamma=98.08
Element x y z (fractional)
O 0.674 0.137 0.862
O 0.312 0.456 0.876
O 0.301 0.185 0.606
P 0.876 0.757 0.289
O 0.863 0.326 0.638
O 0.688 0.544 0.124
P 0.124 0.243 0.711
O 0.456 0.312 0.376
O 0.963 0.037 0.250
Be 0.343 0.550 0.068
O 0.815 0.699 0.894
P 0.243 0.124 0.211
Be 0.450 0.657 0.432
O 0.326 0.863 0.138
O 0.544 0.688 0.624
Be 0.550 0.343 0.568
O 0.037 0.963 0.750
P 0.757 0.876 0.789
O 0.137 0.674 0.362
Be 0.657 0.450 0.932
O 0.699 0.815 0.394
O 0.185 0.301 0.106


Record 3
A plane-wave DFT calculation with GGA-PBEsol was carried out for a relaxed structure of CuPt.

Computed properties:
ΔE_f ... -0.0908 eV per atom
DOS(E_F) ... 0.866 states/eV per atom
Crystal system ... monoclinic
VASP energy ... -5.740 eV per atom

Unit cell a=4.567 b=5.978 c=5.978 alpha=84.84 beta=82.48 gamma=82.48
Element x y z (fractional)
Cu 0.749 0.419 0.751
Pt 0.508 0.506 0.158
Cu 0.749 0.751 0.419
Pt 0.244 0.914 0.246
Cu 0.509 0.832 0.832
Pt 0.244 0.246 0.914
Pt 0.508 0.158 0.506
Cu 0.998 0.673 0.996
Cu 0.998 0.996 0.673
Cu 0.749 0.077 0.077
Pt 0.248 0.592 0.592
Pt 0.998 0.334 0.334


Record 4
A plane-wave DFT calculation with GGA-PBEsol was carried out for a relaxed structure of Ti3Pd5.

Computed properties:
ΔE_f ... -0.6226 eV per atom
DOS(E_F) ... 0.585 states/eV per atom
Crystal system ... tetragonal
VASP energy ... -7.468 eV per atom

Unit cell a=3.256 b=3.256 c=11.308 alpha=90.00 beta=90.00 gamma=90.00
Element x y z (fractional)
Pd 0.000 0.000 0.758
Pd 0.000 0.000 0.242
Pd 0.500 0.500 0.620
Pd 0.500 0.500 0.380
Pd 0.000 0.000 0.000
Ti 0.500 0.500 0.863
Ti 0.000 0.000 0.500
Ti 0.500 0.500 0.137


Record 5
A plane-wave DFT calculation with GGA-PBEsol was carried out for a relaxed structure of BAs2SeF.

Computed properties:
DOS(E_F) ... 0.542 states/eV per atom
Formation energy from raw total energies ... 1094 meV per atom
Crystal system ... tetragonal
VASP energy ... -3.507 eV per atom

Unit cell a=4.313 b=4.313 c=4.827 alpha=90.00 beta=90.00 gamma=90.00
Element x y z (fractional)
As 0.500 0.000 0.000
B 0.500 0.500 0.500
F 0.000 0.000 0.000
As 0.000 0.500 0.000
Se 0.000 0.000 0.500


Record 6
A plane-wave DFT calculation with GGA-PBEsol was carried out for a relaxed structure of ZrBeAl.

Computed properties:
ΔE_f ... -0.3757 eV per atom
DOS(E_F) ... 0.438 states/eV per atom
Crystal system ... hexagonal
VASP energy ... -6.103 eV per atom

Unit cell a=3.235 b=4.078 c=4.078 alpha=120.00 beta=90.00 gamma=90.00
Element x y z (fractional)
Al 0.000 0.000 0.000
Zr 0.500 0.333 0.667
Be 0.000 0.667 0.333